Density functional theory data (PBE+U) for a geometry-optimized K2CrCd2O6 structure.

a b c (Å): 5.8127 9.5516 6.5631
angles (deg): 90.00 109.15 90.00
Space group C2/m (No. 12)
Inequivalent atoms, fractional coordinates:
K 0.0000 0.1741 0.0000 x4
Cr 0.0000 0.0000 0.5000 x2
Cd 0.0000 0.3369 0.5000 x4
O 0.1965 0.1404 0.6787 x8
O 0.2213 0.0000 0.3271 x4

- spin magnetization (μB/f.u.) = 0.031
- electronic total energy (eV for the cell shown) = -107.2